{"formula": "Ho2ErSn3Pt3", "functional": "GGA-PBE", "state": "optimized geometry", "lattice": [[4.0049, 0.0000, 0.0000], [0.0000, 6.4837, 3.7478], [0.0000, -6.4837, 3.7478]], "species": ["Ho", "Ho", "Er", "Sn", "Sn", "Sn", "Pt", "Pt", "Pt"], "frac_coords": [[0.0000, 0.2029, 0.7971], [0.0000, 0.7971, 0.2029], [0.0000, 0.6082, 0.6082], [0.5000, 0.2031, 0.4623], [0.5000, 0.4623, 0.2031], [0.5000, 0.9434, 0.9434], [0.0000, 0.2035, 0.2035], [0.5000, 0.5364, 0.8687], [0.5000, 0.8687, 0.5364]], "dft_energy_ev_per_atom": -5.973, "spacegroup": "No. 38", "m_tot_mub_per_fu": 0.0}

---

{"formula": "HoErSn2Pt4", "functional": "GGA-PBE", "state": "optimized geometry", "lattice": [[4.5492, 0.0000, 0.0000], [-2.2746, 3.9398, 0.0000], [0.0000, 0.0000, 9.0481]], "species": ["Ho", "Er", "Sn", "Sn", "Pt", "Pt", "Pt", "Pt"], "frac_coords": [[0.0000, 0.0000, 0.0000], [0.6667, 0.3333, 0.5000], [0.3333, 0.6667, 0.2503], [0.3333, 0.6667, 0.7497], [0.0000, 0.0000, 0.3411], [0.0000, 0.0000, 0.6589], [0.6667, 0.3333, 0.1600], [0.6667, 0.3333, 0.8400]], "dft_energy_ev_per_atom": -6.188, "spacegroup": "No. 187", "m_tot_mub_per_fu": 0.0}